(1)
# SrZr2Be

A crystal of SrZr2Be relaxed with PBEsol (SCAN, the Alexandria database).

The space group is Imm2 (No. 44) and the conventional cell measures 3.356, 4.834 and 10.865 Å, with angles of 90.00, 90.00 and 90.00 degrees. The distinct sites, in fractional coordinates, are Sr at (0.000, 0.000, 0.000), Zr at (0.000, 0.000, 0.595), Zr at (0.000, 0.500, 0.794) and Be at (0.000, 0.500, 0.273).

For the energy relative to the elements, the calculation gives 0.56 eV per atom.

***

(2)
# Ta2Be

A crystal of Ta2Be relaxed with PBEsol (SCAN, the Alexandria database).

The space group is I4/mmm (No. 139) and the conventional cell measures 2.751, 2.751 and 11.729 Å, with angles of 90.00, 90.00 and 90.00 degrees. The distinct sites, in fractional coordinates, are Ta at (0.000, 0.000, 0.146) and Be at (0.000, 0.000, 0.500).

For the energy relative to the elements, the calculation gives 0.04 eV per atom.

***

(3)
# Ta2Be

A crystal of Ta2Be relaxed with PBEsol (SCAN, the Alexandria database).

The space group is P6/mmm (No. 191) and the conventional cell measures 4.4890, 4.4890 and 2.7133 Å, with angles of 90.00, 90.00 and 120.00 degrees. The distinct sites, in fractional coordinates, are Ta at (0.3333, 0.6667, 0.0000) and Be at (0.0000, 0.0000, 0.5000).

For the energy relative to the elements, the calculation gives 0.46 eV per atom.